# 1
Below is a relaxed structure of HfGaIrOs, with properties calculated at the PBE level.

Results
uncorrected energy	-35.46	eV for the cell shown
D(E_F)	0.089	states/eV/atom
crystal system	cubic
ΔE_f	-58	kJ per mole of atoms

The structure in POSCAR format:
```
HfGaIrOs
1.0
0.000 3.160 3.160
3.160 0.000 3.160
3.160 3.160 0.000
Hf Ga Ir Os
1 1 1 1
Direct
0.000 0.000 0.000
0.500 0.500 0.500
0.250 0.250 0.250
0.750 0.750 0.750
```

=====

# 2
Below is a relaxed structure of Pm12TlCd4O3, with properties calculated at the PBE level.

Results
uncorrected energy	-94.06	eV for the cell shown
formation energy from raw total energies	-808	meV/atom
D(E_F)	1.097	states/eV/atom
crystal system	cubic

The structure in POSCAR format:
```
Pm12TlCd4O3
1.0
-5.179 5.179 5.179
5.179 -5.179 5.179
5.179 5.179 -5.179
Pm Tl Cd O
12 1 4 3
Direct
0.000 0.277 0.277
0.000 0.723 0.723
0.250 0.500 0.750
0.250 0.750 0.500
0.277 0.000 0.277
0.277 0.277 0.000
0.500 0.250 0.750
0.500 0.750 0.250
0.723 0.000 0.723
0.723 0.723 0.000
0.750 0.250 0.500
0.750 0.500 0.250
0.000 0.000 0.000
0.000 0.000 0.500
0.000 0.500 0.000
0.500 0.000 0.000
0.500 0.500 0.500
0.000 0.500 0.500
0.500 0.000 0.500
0.500 0.500 0.000
```

=====

# 3
Below is a relaxed structure of CdGa2Br6, with properties calculated at the PBE level.

Results
uncorrected energy	-45.65	eV for the cell shown
formation energy from raw total energies	-647	meV/atom
D(E_F)	0.364	states/eV/atom
energy relative to the lowest polymorph listed for this composition	122.9	meV/atom
crystal system	monoclinic

The structure in POSCAR format:
```
CdGa2Br6
1.0
6.579 -6.188 0.000
6.579 6.188 0.000
-3.191 0.000 8.242
Cd Ga Br
2 4 12
Direct
0.073 0.927 0.750
0.927 0.073 0.250
0.221 0.403 0.757
0.403 0.221 0.257
0.597 0.779 0.743
0.779 0.597 0.243
0.003 0.196 0.639
0.040 0.635 0.760
0.196 0.003 0.139
0.346 0.370 0.042
0.365 0.960 0.740
0.370 0.346 0.542
0.630 0.654 0.458
0.635 0.040 0.260
0.654 0.630 0.958
0.804 0.997 0.861
0.960 0.365 0.240
0.997 0.804 0.361
```

=====

# 4
Below is a relaxed structure of Be3Sb2, with properties calculated at the PBE level.

Results
uncorrected energy	-16.95	eV for the cell shown
formation energy from raw total energies	495	meV/atom
D(E_F)	0.504	states/eV/atom
energy relative to the lowest polymorph listed for this composition	13.2	meV/atom
crystal system	trigonal

The structure in POSCAR format:
```
Be3Sb2
1.0
1.840 1.062 6.955
-1.840 1.062 6.955
0.000 -2.125 6.955
Be Sb
3 2
Direct
0.000 0.000 0.000
0.181 0.181 0.181
0.819 0.819 0.819
0.412 0.412 0.412
0.588 0.588 0.588
```

=====

# 5
Below is a relaxed structure of Cs2LiTcI6, with properties calculated at the PBE level.

Results
uncorrected energy	-31.45	eV for the cell shown
formation energy from raw total energies	-816	meV/atom
D(E_F)	0.826	states/eV/atom
crystal system	tetragonal

The structure in POSCAR format:
```
Cs2LiTcI6
1.0
-4.118 4.118 5.818
4.118 -4.118 5.818
4.118 4.118 -5.818
Cs Li Tc I
2 1 1 6
Direct
0.250 0.750 0.500
0.750 0.250 0.500
0.000 0.000 0.000
0.500 0.500 0.000
0.261 0.261 0.000
0.262 0.262 0.523
0.262 0.738 0.000
0.738 0.262 0.000
0.738 0.738 0.477
0.739 0.739 0.000
```

=====

# 6
Below is a relaxed structure of Pm2PaPd, with properties calculated at the PBE level.

Results
uncorrected energy	-23.82	eV for the cell shown
D(E_F)	1.075	states/eV/atom
energy relative to the lowest polymorph listed for this composition	304.1	meV/atom
crystal system	trigonal
ΔE_f	9	kJ per mole of atoms

The structure in POSCAR format:
```
Pm2PaPd
1.0
1.642 0.948 11.126
-1.642 0.948 11.126
0.000 -1.896 11.126
Pm Pa Pd
2 1 1
Direct
0.097 0.097 0.097
0.903 0.903 0.903
0.000 0.000 0.000
0.500 0.500 0.500
```